Record 1
# SrLaZn2Fe (PBE-GGA, optimized geometry)
data_SrLaZn2Fe
_chemical_formula_sum 'Sr1 La1 Zn2 Fe1'
_cell_length_a 5.0398
_cell_length_b 5.0398
_cell_length_c 4.7575
_cell_angle_alpha 90.00
_cell_angle_beta 90.00
_cell_angle_gamma 90.00
_symmetry_space_group_name_H-M 'P 1'
_symmetry_Int_Tables_number 1
loop_
_symmetry_equiv_pos_as_xyz
'x,y,z'
loop_
_atom_site_label
_atom_site_type_symbol
_atom_site_fract_x
_atom_site_fract_y
_atom_site_fract_z
_atom_site_occupancy
Zn1 Zn 0.0000 0.5000 0.0000 1
Zn2 Zn 0.5000 0.0000 0.0000 1
Sr1 Sr 0.5000 0.5000 0.5000 1
La1 La 0.0000 0.0000 0.5000 1
Fe1 Fe 0.0000 0.0000 0.0000 1
# E	-17.73	eV/cell
# magnetic moment	0.00	μB per atom
# SG	P4/mmm (123)
# calculated volume	121	Å³/cell
# mass density	5.7	g/cm³

---

Record 2
# Ho5Sc3Sb8 (PBE-GGA, optimized geometry)
data_Ho5Sc3Sb8
_chemical_formula_sum 'Ho5 Sc3 Sb8'
_cell_length_a 8.5935
_cell_length_b 8.5935
_cell_length_c 8.5883
_cell_angle_alpha 59.98
_cell_angle_beta 59.98
_cell_angle_gamma 60.00
_symmetry_space_group_name_H-M 'P 1'
_symmetry_Int_Tables_number 1
loop_
_symmetry_equiv_pos_as_xyz
'x,y,z'
loop_
_atom_site_label
_atom_site_type_symbol
_atom_site_fract_x
_atom_site_fract_y
_atom_site_fract_z
_atom_site_occupancy
Sb1 Sb 0.7545 0.7545 0.7366 1
Sb2 Sb 0.2500 0.7590 0.7410 1
Ho1 Ho 0.5000 0.5000 0.5000 1
Sc1 Sc 0.5000 0.0000 0.5000 1
Ho2 Ho 0.5000 0.0000 0.0000 1
Ho3 Ho 0.0000 0.0000 0.0000 1
Sb3 Sb 0.2410 0.7500 0.2590 1
Sb4 Sb 0.7500 0.2410 0.2590 1
Ho4 Ho 0.0000 0.5000 0.0000 1
Sb5 Sb 0.7590 0.2500 0.7410 1
Sc2 Sc 0.0000 0.0000 0.5000 1
Sb6 Sb 0.2500 0.2500 0.7410 1
Sb7 Sb 0.2455 0.2455 0.2634 1
Ho5 Ho 0.5000 0.5000 0.0000 1
Sb8 Sb 0.7500 0.7500 0.2590 1
Sc3 Sc 0.0000 0.5000 0.5000 1
# E	-91.46	eV/cell
# magnetic moment	0.00	μB per atom
# formation energy without anion corrections	-16.601	eV per formula unit
# SG	R-3m (166)
# calculated volume	448	Å³/cell
# mass density	7.2	g/cm³

---

Record 3
# Sm6Ho2ErSc (PBE-GGA, optimized geometry)
data_Sm6Ho2ErSc
_chemical_formula_sum 'Sm6 Ho2 Er1 Sc1'
_cell_length_a 8.8426
_cell_length_b 7.6160
_cell_length_c 6.2921
_cell_angle_alpha 127.24
_cell_angle_beta 99.58
_cell_angle_gamma 90.00
_symmetry_space_group_name_H-M 'P 1'
_symmetry_Int_Tables_number 1
loop_
_symmetry_equiv_pos_as_xyz
'x,y,z'
loop_
_atom_site_label
_atom_site_type_symbol
_atom_site_fract_x
_atom_site_fract_y
_atom_site_fract_z
_atom_site_occupancy
Sc1 Sc 0.5000 0.0000 0.0000 1
Sm1 Sm 0.5576 0.3454 0.6908 1
Sm2 Sm 0.7835 0.3491 0.2680 1
Sm3 Sm 0.4424 0.6546 0.3092 1
Sm4 Sm 0.2165 0.6509 0.7320 1
Ho1 Ho 0.8614 0.8665 0.7330 1
Sm5 Sm 0.7835 0.9189 0.2680 1
Er1 Er 0.0000 0.5000 0.0000 1
Ho2 Ho 0.1386 0.1335 0.2670 1
Sm6 Sm 0.2165 0.0811 0.7320 1
# E	-45.97	eV/cell
# magnetic moment	0.00	μB per atom
# SG	C2/m (12)
# calculated volume	330	Å³/cell
# mass density	7.3	g/cm³

---

Record 4
# LaAlRu2 (PBE-GGA, optimized geometry)
data_LaAlRu2
_chemical_formula_sum 'La1 Al1 Ru2'
_cell_length_a 3.2228
_cell_length_b 3.1365
_cell_length_c 7.0572
_cell_angle_alpha 75.67
_cell_angle_beta 90.00
_cell_angle_gamma 90.00
_symmetry_space_group_name_H-M 'P 1'
_symmetry_Int_Tables_number 1
loop_
_symmetry_equiv_pos_as_xyz
'x,y,z'
loop_
_atom_site_label
_atom_site_type_symbol
_atom_site_fract_x
_atom_site_fract_y
_atom_site_fract_z
_atom_site_occupancy
La1 La 0.5000 0.7500 0.7500 1
Ru1 Ru 0.0000 0.8677 0.0425 1
Al1 Al 0.5000 0.2500 0.2500 1
Ru2 Ru 0.0000 0.6323 0.4575 1
# E	-28.15	eV/cell
# magnetic moment	0.00	μB per atom
# SG	P2/m (10)
# calculated volume	69	Å³/cell
# mass density	8.8	g/cm³

---

Record 5
# La3Al4Zn (PBE-GGA, optimized geometry)
data_La3Al4Zn
_chemical_formula_sum 'La6 Al8 Zn2'
_cell_length_a 5.9925
_cell_length_b 5.8358
_cell_length_c 11.6119
_cell_angle_alpha 90.00
_cell_angle_beta 90.00
_cell_angle_gamma 90.00
_symmetry_space_group_name_H-M 'P 1'
_symmetry_Int_Tables_number 1
loop_
_symmetry_equiv_pos_as_xyz
'x,y,z'
loop_
_atom_site_label
_atom_site_type_symbol
_atom_site_fract_x
_atom_site_fract_y
_atom_site_fract_z
_atom_site_occupancy
Al1 Al 0.3325 0.5000 0.8660 1
Al2 Al 0.3325 0.5000 0.1340 1
La1 La 0.1771 0.0000 0.2501 1
La2 La 0.4440 0.5000 0.5000 1
Al3 Al 0.0434 0.2412 0.0000 1
Al4 Al 0.6675 0.0000 0.3660 1
La3 La 0.8229 0.5000 0.2499 1
Zn1 Zn 0.6853 0.5000 0.0000 1
Al5 Al 0.9566 0.2588 0.5000 1
Al6 Al 0.0434 0.7588 0.0000 1
La4 La 0.1771 0.0000 0.7499 1
Al7 Al 0.6675 0.0000 0.6340 1
Zn2 Zn 0.3147 0.0000 0.5000 1
La5 La 0.8229 0.5000 0.7501 1
La6 La 0.5560 0.0000 0.0000 1
Al8 Al 0.9566 0.7412 0.5000 1
# E	-68.07	eV/cell
# magnetic moment	0.00	μB per atom
# SG	Pmmn (59)
# calculated volume	406	Å³/cell
# mass density	4.8	g/cm³

---

Record 6
# MnPdSe4 (PBE-GGA, optimized geometry)
data_MnPdSe4
_chemical_formula_sum 'Mn1 Pd1 Se4'
_cell_length_a 3.6729
_cell_length_b 5.4600
_cell_length_c 6.3929
_cell_angle_alpha 90.64
_cell_angle_beta 90.00
_cell_angle_gamma 90.00
_symmetry_space_group_name_H-M 'P 1'
_symmetry_Int_Tables_number 1
loop_
_symmetry_equiv_pos_as_xyz
'x,y,z'
loop_
_atom_site_label
_atom_site_type_symbol
_atom_site_fract_x
_atom_site_fract_y
_atom_site_fract_z
_atom_site_occupancy
Se1 Se 0.0000 0.7534 0.6572 1
Se2 Se 0.0000 0.2466 0.3428 1
Se3 Se 0.5000 0.7562 0.1752 1
Mn1 Mn 0.5000 0.0000 0.5000 1
Se4 Se 0.5000 0.2438 0.8248 1
Pd1 Pd 0.0000 0.0000 0.0000 1
# E	-30.38	eV/cell
# magnetic moment	0.45	μB per atom
# formation energy without anion corrections	-2.075	eV per formula unit
# SG	P2/m (10)
# calculated volume	128	Å³/cell
# mass density	6.2	g/cm³

---

> The highest E belongs to which entry?

SrLaZn2Fe

---

Copy entry 5 word for word.
# La3Al4Zn (PBE-GGA, optimized geometry)
data_La3Al4Zn
_chemical_formula_sum 'La6 Al8 Zn2'
_cell_length_a 5.9925
_cell_length_b 5.8358
_cell_length_c 11.6119
_cell_angle_alpha 90.00
_cell_angle_beta 90.00
_cell_angle_gamma 90.00
_symmetry_space_group_name_H-M 'P 1'
_symmetry_Int_Tables_number 1
loop_
_symmetry_equiv_pos_as_xyz
'x,y,z'
loop_
_atom_site_label
_atom_site_type_symbol
_atom_site_fract_x
_atom_site_fract_y
_atom_site_fract_z
_atom_site_occupancy
Al1 Al 0.3325 0.5000 0.8660 1
Al2 Al 0.3325 0.5000 0.1340 1
La1 La 0.1771 0.0000 0.2501 1
La2 La 0.4440 0.5000 0.5000 1
Al3 Al 0.0434 0.2412 0.0000 1
Al4 Al 0.6675 0.0000 0.3660 1
La3 La 0.8229 0.5000 0.2499 1
Zn1 Zn 0.6853 0.5000 0.0000 1
Al5 Al 0.9566 0.2588 0.5000 1
Al6 Al 0.0434 0.7588 0.0000 1
La4 La 0.1771 0.0000 0.7499 1
Al7 Al 0.6675 0.0000 0.6340 1
Zn2 Zn 0.3147 0.0000 0.5000 1
La5 La 0.8229 0.5000 0.7501 1
La6 La 0.5560 0.0000 0.0000 1
Al8 Al 0.9566 0.7412 0.5000 1
# E	-68.07	eV/cell
# magnetic moment	0.00	μB per atom
# SG	Pmmn (59)
# calculated volume	406	Å³/cell
# mass density	4.8	g/cm³

---

Please write out number 5 again, unchanged.
# La3Al4Zn (PBE-GGA, optimized geometry)
data_La3Al4Zn
_chemical_formula_sum 'La6 Al8 Zn2'
_cell_length_a 5.9925
_cell_length_b 5.8358
_cell_length_c 11.6119
_cell_angle_alpha 90.00
_cell_angle_beta 90.00
_cell_angle_gamma 90.00
_symmetry_space_group_name_H-M 'P 1'
_symmetry_Int_Tables_number 1
loop_
_symmetry_equiv_pos_as_xyz
'x,y,z'
loop_
_atom_site_label
_atom_site_type_symbol
_atom_site_fract_x
_atom_site_fract_y
_atom_site_fract_z
_atom_site_occupancy
Al1 Al 0.3325 0.5000 0.8660 1
Al2 Al 0.3325 0.5000 0.1340 1
La1 La 0.1771 0.0000 0.2501 1
La2 La 0.4440 0.5000 0.5000 1
Al3 Al 0.0434 0.2412 0.0000 1
Al4 Al 0.6675 0.0000 0.3660 1
La3 La 0.8229 0.5000 0.2499 1
Zn1 Zn 0.6853 0.5000 0.0000 1
Al5 Al 0.9566 0.2588 0.5000 1
Al6 Al 0.0434 0.7588 0.0000 1
La4 La 0.1771 0.0000 0.7499 1
Al7 Al 0.6675 0.0000 0.6340 1
Zn2 Zn 0.3147 0.0000 0.5000 1
La5 La 0.8229 0.5000 0.7501 1
La6 La 0.5560 0.0000 0.0000 1
Al8 Al 0.9566 0.7412 0.5000 1
# E	-68.07	eV/cell
# magnetic moment	0.00	μB per atom
# SG	Pmmn (59)
# calculated volume	406	Å³/cell
# mass density	4.8	g/cm³